(1)
CsTmAlSe4 | PBE | relaxed

Unit cell a=7.115 b=6.043 c=10.197 alpha=90.00 beta=105.38 gamma=90.00
Atoms (fractional coordinates):
Cs 0.756 0.750 0.956
Cs 0.244 0.250 0.044
Tm 0.747 0.750 0.448
Tm 0.253 0.250 0.552
Al 0.261 0.750 0.342
Al 0.739 0.250 0.658
Se 0.008 0.512 0.691
Se 0.992 0.012 0.309
Se 0.992 0.488 0.309
Se 0.008 0.988 0.691
Se 0.460 0.750 0.193
Se 0.540 0.250 0.807
Se 0.429 0.750 0.576
Se 0.571 0.250 0.424

Crystal system = monoclinic
Raw formation energy = -849 kJ/mol of formula units

=====

(2)
Cs2TmAlSe4 | PBE | relaxed

Unit cell a=6.395 b=8.185 c=13.679 alpha=84.76 beta=76.48 gamma=67.00
Atoms (fractional coordinates):
Cs 0.179 0.000 0.642
Cs 0.821 0.000 0.358
Cs 0.571 0.500 0.858
Cs 0.929 0.500 0.142
Tm 0.750 0.500 0.500
Tm 0.000 0.000 0.000
Al 0.250 0.500 0.500
Al 0.500 0.000 0.000
Se 0.322 0.809 0.103
Se 0.235 0.191 0.897
Se 0.869 0.809 0.897
Se 0.575 0.191 0.103
Se 0.428 0.691 0.397
Se 0.515 0.309 0.603
Se 0.881 0.691 0.603
Se 0.175 0.309 0.397

Crystal system = orthorhombic
Raw formation energy = -1050 kJ/mol of formula units

=====

(3)
Cs2UAlSe4 | PBE | relaxed

Unit cell a=6.541 b=8.237 c=13.800 alpha=84.60 beta=76.29 gamma=66.61
Each line ends with the local moment (μB).
Atoms (fractional coordinates):
Cs 0.179 0.000 0.643  0.01
Cs 0.821 0.000 0.357  0.01
Cs 0.571 0.500 0.857  0.01
Cs 0.929 0.500 0.143  0.01
U 0.750 0.500 0.500  2.69
U 0.000 0.000 0.000  2.69
Al 0.250 0.500 0.500  0.01
Al 0.500 0.000 0.000  0.01
Se 0.332 0.805 0.103  -0.03
Se 0.241 0.195 0.897  -0.03
Se 0.862 0.805 0.897  -0.03
Se 0.564 0.195 0.103  -0.03
Se 0.418 0.695 0.397  -0.03
Se 0.509 0.305 0.603  -0.03
Se 0.888 0.695 0.603  -0.03
Se 0.186 0.305 0.397  -0.03

Crystal system = orthorhombic
Raw formation energy = -804 kJ/mol of formula units

=====

(4)
Cs2AlVSe4 | PBE | relaxed

Unit cell a=6.138 b=7.988 c=13.244 alpha=84.89 beta=76.60 gamma=67.41
Each line ends with the local moment (μB).
Atoms (fractional coordinates):
Cs 0.178 0.000 0.643  0.00
Cs 0.822 0.000 0.357  0.00
Cs 0.572 0.500 0.857  0.00
Cs 0.928 0.500 0.143  0.00
Al 0.750 0.500 0.500  0.01
Al 0.000 0.000 0.000  0.01
V 0.250 0.500 0.500  1.85
V 0.500 0.000 0.000  1.85
Se 0.286 0.817 0.102  -0.02
Se 0.205 0.183 0.898  -0.02
Se 0.897 0.817 0.898  -0.02
Se 0.612 0.183 0.102  -0.02
Se 0.464 0.683 0.398  -0.02
Se 0.545 0.317 0.602  -0.02
Se 0.853 0.683 0.602  -0.02
Se 0.138 0.317 0.398  -0.02

Crystal system = orthorhombic
Raw formation energy = -801 kJ/mol of formula units

=====

(5)
CsYAlSe4 | PBE | relaxed

Unit cell a=7.189 b=6.055 c=10.229 alpha=90.00 beta=105.20 gamma=90.00
Atoms (fractional coordinates):
Cs 0.754 0.750 0.956
Cs 0.246 0.250 0.044
Y 0.748 0.750 0.448
Y 0.252 0.250 0.552
Al 0.261 0.750 0.340
Al 0.739 0.250 0.660
Se 0.006 0.512 0.695
Se 0.994 0.012 0.305
Se 0.994 0.488 0.305
Se 0.006 0.988 0.695
Se 0.458 0.750 0.192
Se 0.542 0.250 0.808
Se 0.424 0.750 0.574
Se 0.576 0.250 0.426

Crystal system = monoclinic
Raw formation energy = -867 kJ/mol of formula units

=====

(6)
Cs2ZrAlSe5 | PBE | relaxed

Unit cell a=3.877 b=11.025 c=15.381 alpha=90.00 beta=90.00 gamma=100.13
Atoms (fractional coordinates):
Cs 0.872 0.743 0.810
Cs 0.132 0.264 0.689
Cs 0.128 0.257 0.310
Cs 0.868 0.736 0.189
Zr 0.790 0.581 0.520
Zr 0.210 0.419 0.020
Al 0.580 0.160 0.935
Al 0.420 0.840 0.435
Se 0.326 0.652 0.999
Se 0.689 0.377 0.892
Se 0.515 0.030 0.811
Se 0.298 0.596 0.638
Se 0.928 0.857 0.530
Se 0.674 0.348 0.499
Se 0.311 0.623 0.392
Se 0.485 0.970 0.311
Se 0.702 0.404 0.138
Se 0.072 0.143 0.030

Crystal system = orthorhombic
Raw formation energy = -962 kJ/mol of formula units

=====

(7)
Cs2ZrAlSe4 | PBE | relaxed

Unit cell a=6.624 b=8.069 c=13.479 alpha=84.21 beta=75.78 gamma=65.77
Atoms (fractional coordinates):
Cs 0.178 0.000 0.645
Cs 0.822 0.000 0.355
Cs 0.572 0.500 0.855
Cs 0.928 0.500 0.145
Zr 0.750 0.500 0.500
Zr 0.000 0.000 0.000
Al 0.250 0.500 0.500
Al 0.500 0.000 0.000
Se 0.307 0.815 0.101
Se 0.223 0.185 0.899
Se 0.878 0.815 0.899
Se 0.593 0.185 0.101
Se 0.443 0.685 0.399
Se 0.527 0.315 0.601
Se 0.872 0.685 0.601
Se 0.157 0.315 0.399

Crystal system = orthorhombic
Raw formation energy = -889 kJ/mol of formula units

=====

(8)
CsAl3Si3 | PBE | relaxed

Unit cell a=7.114 b=7.114 c=7.114 alpha=90.00 beta=90.00 gamma=90.00
Atoms (fractional coordinates):
Cs 0.500 0.500 0.500
Cs 0.000 0.000 0.000
Si 0.000 0.250 0.500
Si 0.000 0.750 0.500
Si 0.500 0.000 0.750
Si 0.750 0.500 0.000
Si 0.500 0.000 0.250
Si 0.250 0.500 0.000
Al 0.250 0.000 0.500
Al 0.000 0.500 0.250
Al 0.500 0.750 0.000
Al 0.750 0.000 0.500
Al 0.000 0.500 0.750
Al 0.500 0.250 0.000

Crystal system = cubic
Raw formation energy = 75 kJ/mol of formula units